[1]
## BaLiCa2 (GGA-PBEsol)

Data for crystalline BaLiCa2 at its relaxed geometry.

The space group is I4/mmm (No. 139) and the conventional cell measures 5.369, 5.369 and 11.444 Å, with angles of 90.00, 90.00 and 90.00 degrees. Symmetry generates all atoms from Ba at (0.000, 0.000, 0.000), Li at (0.000, 0.000, 0.500) and Ca at (0.000, 0.500, 0.250).

The calculation puts the distance to the lowest polymorph of the same formula at 0.076 eV per atom. As for the density of states at the Fermi level: 1.068 states/eV/atom. The theoretical density comes out at 2.3 g cm⁻³.

[2]
## Ba2LiCaSn (GGA-PBEsol)

Data for crystalline Ba2LiCaSn at its relaxed geometry.

The space group is P4/mmm (No. 123) and the conventional cell measures 6.164, 6.164 and 5.028 Å, with angles of 90.00, 90.00 and 90.00 degrees. Symmetry generates all atoms from Ba at (0.000, 0.500, 0.000), Li at (0.000, 0.000, 0.000), Ca at (0.500, 0.500, 0.500) and Sn at (0.000, 0.000, 0.500).

As for the density of states at the Fermi level: 0.747 states/eV/atom. The theoretical density comes out at 3.8 g cm⁻³. Its electronic total energy is -13.2 eV/cell.

[3]
## BaCaMg2 (GGA-PBEsol)

Data for crystalline BaCaMg2 at its relaxed geometry.

The space group is P4mm (No. 99) and the conventional cell measures 3.896, 3.896 and 9.262 Å, with angles of 90.00, 90.00 and 90.00 degrees. Symmetry generates all atoms from Ba at (0.000, 0.000, 0.000), Ca at (0.500, 0.500, 0.348), Mg at (0.000, 0.000, 0.570) and Mg at (0.500, 0.500, 0.732).

The calculation puts the distance to the lowest polymorph of the same formula at 0.068 eV per atom. As for the density of states at the Fermi level: 0.942 states/eV/atom. The theoretical density comes out at 2.7 g cm⁻³.

[4]
## BaCaMg2 (GGA-PBEsol)

Data for crystalline BaCaMg2 at its relaxed geometry.

The space group is P4/mmm (No. 123) and the conventional cell measures 5.862, 5.862 and 4.025 Å, with angles of 90.00, 90.00 and 90.00 degrees. Symmetry generates all atoms from Ba at (0.000, 0.000, 0.000), Ca at (0.500, 0.500, 0.000) and Mg at (0.000, 0.500, 0.500).

The calculation puts the distance to the lowest polymorph of the same formula at 0.029 eV per atom. As for the density of states at the Fermi level: 0.962 states/eV/atom. The theoretical density comes out at 2.7 g cm⁻³.

[5]
## BaCaMg2 (GGA-PBEsol)

Data for crystalline BaCaMg2 at its relaxed geometry.

The space group is Fm-3m (No. 225) and the conventional cell measures 8.202, 8.202 and 8.202 Å, with angles of 90.00, 90.00 and 90.00 degrees. Symmetry generates all atoms from Ba at (0.000, 0.000, 0.000), Ca at (0.000, 0.000, 0.500) and Mg at (0.250, 0.250, 0.250).

The calculation puts the distance to the lowest polymorph of the same formula at 0.000 eV per atom. As for the density of states at the Fermi level: 0.960 states/eV/atom. The theoretical density comes out at 2.7 g cm⁻³.

[6]
## BaCa2Mg2 (GGA-PBEsol)

Data for crystalline BaCa2Mg2 at its relaxed geometry.

The space group is P4/mbm (No. 127) and the conventional cell measures 9.699, 9.699 and 3.718 Å, with angles of 90.00, 90.00 and 90.00 degrees. Symmetry generates all atoms from Ba at (0.000, 0.000, 0.000), Ca at (0.128, 0.372, 0.000) and Mg at (0.166, 0.666, 0.500).

As for the density of states at the Fermi level: 0.960 states/eV/atom. The theoretical density comes out at 2.5 g cm⁻³. Its electronic total energy is -20.0 eV/cell.